Model a:
Here is crystalline Cu2Pd3Pt2 at its relaxed geometry from Alexandria. Energies are from PBE-GGA.

Summary:
* magnetization: 0.00 μB per cell
* SG: C2/m (12)

Lattice parameters (Å, degrees): 6.8427 6.8427 6.5386 117.38 117.38 22.75
Sites, in units of the cell vectors:
Cu1 0.0609 0.0609 0.2202
Cu2 0.9391 0.9391 0.7798
Pd1 0.2827 0.2827 0.3628
Pd2 0.5000 0.5000 0.5000
Pd3 0.7173 0.7173 0.6372
Pt1 0.3590 0.3590 0.0372
Pt2 0.6410 0.6410 0.9628

Model b:
Here is crystalline Cu2Pd3Pt2 at its relaxed geometry from Alexandria. Energies are from PBE-GGA.

Summary:
* magnetization: 0.00 μB per cell
* SG: Cmmm (65)

Lattice parameters (Å, degrees): 10.0738 10.0738 2.7348 90.00 90.00 157.82
Sites, in units of the cell vectors:
Cu1 0.1417 0.8583 0.0000
Cu2 0.8583 0.1417 0.0000
Pd1 0.0000 0.0000 0.0000
Pd2 0.4284 0.5716 0.5000
Pd3 0.5716 0.4284 0.5000
Pt1 0.2945 0.7055 0.5000
Pt2 0.7055 0.2945 0.5000

Taking the most stable structure as the zero point, the relative energies in meV per atom are model a 13; model b 0.

Model a:
Here is crystalline Cu7PdPt4 at its relaxed geometry from Alexandria. Energies are from PBE-GGA.

Summary:
* magnetization: 0.00 μB per cell
* SG: P-3m1 (164)

Lattice parameters (Å, degrees): 2.7179 2.7179 25.6707 90.00 90.00 120.00
Sites, in units of the cell vectors:
Cu1 0.0000 0.0000 0.0000
Cu2 0.0000 0.0000 0.2467
Cu3 0.0000 0.0000 0.7533
Cu4 0.3333 0.6667 0.1697
Cu5 0.3333 0.6667 0.4165
Cu6 0.6667 0.3333 0.5835
Cu7 0.6667 0.3333 0.8303
Pd1 0.0000 0.0000 0.5000
Pt1 0.3333 0.6667 0.6682
Pt2 0.3333 0.6667 0.9154
Pt3 0.6667 0.3333 0.0846
Pt4 0.6667 0.3333 0.3318

Model b:
Here is crystalline Cu7PdPt4 at its relaxed geometry from Alexandria. Energies are from PBE-GGA.

Summary:
* magnetization: 0.00 μB per cell
* SG: C2/m (12)

Lattice parameters (Å, degrees): 5.1355 5.1355 9.0777 112.28 112.28 53.12
Sites, in units of the cell vectors:
Cu1 0.0000 0.0000 0.0000
Cu2 0.1581 0.1581 0.6209
Cu3 0.2074 0.2074 0.9125
Cu4 0.3773 0.3773 0.5320
Cu5 0.6227 0.6227 0.4680
Cu6 0.7926 0.7926 0.0875
Cu7 0.8419 0.8419 0.3791
Pd1 0.5000 0.5000 0.0000
Pt1 0.0903 0.0903 0.3064
Pt2 0.3501 0.3501 0.2262
Pt3 0.6499 0.6499 0.7738
Pt4 0.9097 0.9097 0.6936

Taking the most stable structure as the zero point, the relative energies in meV per atom are model a 0; model b 235.

Model a:
Here is crystalline Cu4PdPt at its relaxed geometry from Alexandria. Energies are from PBE-GGA.

Summary:
* magnetization: 0.00 μB per cell
* SG: C2/m (12)

Lattice parameters (Å, degrees): 4.9420 4.9420 4.1747 114.90 114.90 93.94
Sites, in units of the cell vectors:
Cu1 0.0827 0.4161 0.2493
Cu2 0.4161 0.0827 0.2493
Cu3 0.5839 0.9173 0.7507
Cu4 0.9173 0.5839 0.7507
Pd1 0.5000 0.5000 0.0000
Pt1 0.0000 0.0000 0.5000

Model b:
Here is crystalline Cu4PdPt at its relaxed geometry from Alexandria. Energies are from PBE-GGA.

Summary:
* magnetization: 0.00 μB per cell
* SG: P2_1/m (11)

Lattice parameters (Å, degrees): 3.8276 7.3392 5.9578 90.00 108.44 90.00
Sites, in units of the cell vectors:
Cu1 0.0000 0.0000 0.0000
Cu2 0.0000 0.5000 0.0000
Cu3 0.3358 0.9999 0.6715
Cu4 0.3358 0.5001 0.6715
Cu5 0.5005 0.2500 0.0010
Cu6 0.4995 0.7500 0.9990
Cu7 0.6642 0.0001 0.3285
Cu8 0.6642 0.4999 0.3285
Pd1 0.1621 0.7500 0.3239
Pd2 0.8379 0.2500 0.6761
Pt1 0.1607 0.2500 0.3217
Pt2 0.8393 0.7500 0.6783

Taking the most stable structure as the zero point, the relative energies in meV per atom are model a 59; model b 0.

Model a:
Here is crystalline Cu3Pd2Pt4 at its relaxed geometry from Alexandria. Energies are from PBE-GGA.

Summary:
* magnetization: 0.00 μB per cell
* SG: P3m1 (156)

Lattice parameters (Å, degrees): 2.7274 2.7274 20.5956 90.00 90.00 120.00
Sites, in units of the cell vectors:
Cu1 0.0000 0.0000 0.0000
Cu2 0.0000 0.0000 0.3411
Cu3 0.6667 0.3333 0.6724
Pd1 0.6667 0.3333 0.1039
Pd2 0.6667 0.3333 0.8961
Pt1 0.0000 0.0000 0.5671
Pt2 0.0000 0.0000 0.7779
Pt3 0.6667 0.3333 0.2360
Pt4 0.6667 0.3333 0.4462

Model b:
Here is crystalline Cu3Pd2Pt4 at its relaxed geometry from Alexandria. Energies are from PBE-GGA.

Summary:
* magnetization: 0.00 μB per cell
* SG: C2/m (12)

Lattice parameters (Å, degrees): 7.6910 7.6910 6.5201 97.16 97.16 20.39
Sites, in units of the cell vectors:
Cu1 0.0000 0.0000 0.0000
Cu2 0.1059 0.1059 0.3690
Cu3 0.8941 0.8941 0.6310
Pd1 0.3361 0.3361 0.9552
Pd2 0.6639 0.6639 0.0448
Pt1 0.2795 0.2795 0.3416
Pt2 0.4538 0.4538 0.3086
Pt3 0.5462 0.5462 0.6914
Pt4 0.7205 0.7205 0.6584

Taking the most stable structure as the zero point, the relative energies in meV per atom are model a 0; model b 26.

Model a:
Here is crystalline Cu8Pd2Pt at its relaxed geometry from Alexandria. Energies are from PBE-GGA.

Summary:
* magnetization: 0.00 μB per cell
* SG: C2/m (12)

Lattice parameters (Å, degrees): 7.2515 7.2515 4.4691 107.33 107.33 124.92
Sites, in units of the cell vectors:
Cu1 0.1031 0.3631 0.7418
Cu2 0.1998 0.8002 0.0000
Cu3 0.3631 0.1031 0.7418
Cu4 0.4951 0.4951 0.7411
Cu5 0.5049 0.5049 0.2589
Cu6 0.6369 0.8969 0.2582
Cu7 0.8002 0.1998 0.0000
Cu8 0.8969 0.6369 0.2582
Pd1 0.3149 0.6851 0.5000
Pd2 0.6851 0.3149 0.5000
Pt1 0.0000 0.0000 0.0000

Model b:
Here is crystalline Cu8Pd2Pt at its relaxed geometry from Alexandria. Energies are from PBE-GGA.

Summary:
* magnetization: 0.00 μB per cell
* SG: Immm (71)

Lattice parameters (Å, degrees): 6.5941 6.5941 6.5941 142.41 119.57 73.39
Sites, in units of the cell vectors:
Cu1 0.1461 0.1461 0.0000
Cu2 0.1737 0.3617 0.8120
Cu3 0.2978 0.0000 0.2978
Cu4 0.4503 0.6383 0.8120
Cu5 0.5497 0.3617 0.1880
Cu6 0.7022 0.0000 0.7022
Cu7 0.8263 0.6383 0.1880
Cu8 0.8539 0.8539 0.0000
Pd1 0.2863 0.7863 0.5000
Pd2 0.7137 0.2137 0.5000
Pt1 0.0000 0.5000 0.5000

Taking the most stable structure as the zero point, the relative energies in meV per atom are model a 40; model b 0.

Model a:
Here is crystalline Cu2Pd2Pt7 at its relaxed geometry from Alexandria. Energies are from PBE-GGA.

Summary:
* magnetization: 0.00 μB per cell
* SG: C2/m (12)

Lattice parameters (Å, degrees): 5.4084 5.4084 6.1970 100.50 100.50 97.81
Sites, in units of the cell vectors:
Cu1 0.2167 0.7833 0.0000
Cu2 0.7833 0.2167 0.0000
Pd1 0.3116 0.3116 0.0274
Pd2 0.6884 0.6884 0.9726
Pt1 0.0425 0.5924 0.3136
Pt2 0.1007 0.1007 0.3388
Pt3 0.4076 0.9575 0.6864
Pt4 0.5000 0.5000 0.5000
Pt5 0.5924 0.0425 0.3136
Pt6 0.8993 0.8993 0.6612
Pt7 0.9575 0.4076 0.6864

Model b:
Here is crystalline Cu2Pd2Pt7 at its relaxed geometry from Alexandria. Energies are from PBE-GGA.

Summary:
* magnetization: 0.00 μB per cell
* SG: C2/m (12)

Lattice parameters (Å, degrees): 6.2254 6.2254 4.7963 99.39 99.39 78.37
Sites, in units of the cell vectors:
Cu1 0.2449 0.2449 0.2462
Cu2 0.7551 0.7551 0.7538
Pd1 0.1851 0.8149 0.0000
Pd2 0.8149 0.1851 0.0000
Pt1 0.0000 0.0000 0.5000
Pt2 0.0536 0.4025 0.7437
Pt3 0.4025 0.0536 0.7437
Pt4 0.4624 0.4624 0.7289
Pt5 0.5376 0.5376 0.2711
Pt6 0.5975 0.9464 0.2563
Pt7 0.9464 0.5975 0.2563

Taking the most stable structure as the zero point, the relative energies in meV per atom are model a 0; model b 83.

Model a:
Here is crystalline Cu4PdPt2 at its relaxed geometry from Alexandria. Energies are from PBE-GGA.

Summary:
* magnetization: 0.00 μB per cell
* SG: Pbam (55)

Lattice parameters (Å, degrees): 4.6483 10.1469 4.2571 90.00 90.00 90.00
Sites, in units of the cell vectors:
Cu1 0.0256 0.1868 0.0000
Cu2 0.2109 0.0698 0.5000
Cu3 0.2891 0.5698 0.5000
Cu4 0.4744 0.6868 0.0000
Cu5 0.5256 0.3132 0.0000
Cu6 0.7109 0.4302 0.5000
Cu7 0.7891 0.9302 0.5000
Cu8 0.9744 0.8132 0.0000
Pd1 0.0000 0.5000 0.0000
Pd2 0.5000 0.0000 0.0000
Pt1 0.2036 0.3229 0.5000
Pt2 0.2964 0.8229 0.5000
Pt3 0.7036 0.1771 0.5000
Pt4 0.7964 0.6771 0.5000

Model b:
Here is crystalline Cu4PdPt2 at its relaxed geometry from Alexandria. Energies are from PBE-GGA.

Summary:
* magnetization: 0.00 μB per cell
* SG: I4mm (107)

Lattice parameters (Å, degrees): 5.1422 5.1422 5.1422 106.46 106.46 115.68
Sites, in units of the cell vectors:
Cu1 0.2166 0.2166 0.4332
Cu2 0.2166 0.7834 0.0000
Cu3 0.7834 0.2166 0.0000
Cu4 0.7834 0.7834 0.5668
Pd1 0.3344 0.3344 0.0000
Pt1 0.2525 0.7525 0.5000
Pt2 0.7525 0.2525 0.5000

Taking the most stable structure as the zero point, the relative energies in meV per atom are model a 9; model b 0.

Model a:
Here is crystalline Cu5Pd5Pt2 at its relaxed geometry from Alexandria. Energies are from PBE-GGA.

Summary:
* magnetization: 0.00 μB per cell
* SG: C2/m (12)

Lattice parameters (Å, degrees): 6.6407 6.6407 7.3120 120.17 120.17 38.58
Sites, in units of the cell vectors:
Cu1 0.0000 0.0000 0.0000
Cu2 0.0764 0.0764 0.3970
Cu3 0.2408 0.2408 0.2282
Cu4 0.7592 0.7592 0.7718
Cu5 0.9236 0.9236 0.6030
Pd1 0.3218 0.3218 0.6422
Pd2 0.4202 0.4202 0.0772
Pd3 0.5000 0.5000 0.5000
Pd4 0.5798 0.5798 0.9228
Pd5 0.6782 0.6782 0.3578
Pt1 0.1639 0.1639 0.8145
Pt2 0.8361 0.8361 0.1855

Model b:
Here is crystalline Cu5Pd5Pt2 at its relaxed geometry from Alexandria. Energies are from PBE-GGA.

Summary:
* magnetization: 0.00 μB per cell
* SG: C2/m (12)

Lattice parameters (Å, degrees): 6.1369 6.1369 8.6477 115.27 115.27 35.71
Sites, in units of the cell vectors:
Cu1 0.0000 0.0000 0.0000
Cu2 0.0828 0.0828 0.7488
Cu3 0.1672 0.1672 0.4983
Cu4 0.8328 0.8328 0.5017
Cu5 0.9172 0.9172 0.2512
Pd1 0.2544 0.2544 0.2581
Pd2 0.4172 0.4172 0.7463
Pd3 0.5000 0.5000 0.5000
Pd4 0.5828 0.5828 0.2537
Pd5 0.7456 0.7456 0.7419
Pt1 0.3369 0.3369 0.0031
Pt2 0.6631 0.6631 0.9969

Taking the most stable structure as the zero point, the relative energies in meV per atom are model a 37; model b 0.

Model a:
Here is crystalline CuPd4Pt3 at its relaxed geometry from Alexandria. Energies are from PBE-GGA.

Summary:
* magnetization: 0.00 μB per cell
* SG: Immm (71)

Lattice parameters (Å, degrees): 9.3314 9.3314 9.3314 163.43 147.37 36.80
Sites, in units of the cell vectors:
Cu1 0.0000 0.0000 0.0000
Pd1 0.1312 0.8782 0.2529
Pd2 0.3747 0.1218 0.2529
Pd3 0.6253 0.8782 0.7471
Pd4 0.8688 0.1218 0.7471
Pt1 0.2390 0.7390 0.5000
Pt2 0.5000 0.5000 0.0000
Pt3 0.7610 0.2610 0.5000

Model b:
Here is crystalline CuPd4Pt3 at its relaxed geometry from Alexandria. Energies are from PBE-GGA.

Summary:
* magnetization: 0.00 μB per cell
* SG: C2/m (12)

Lattice parameters (Å, degrees): 4.8071 4.8071 7.8558 114.38 114.38 48.42
Sites, in units of the cell vectors:
Cu1 0.0000 0.0000 0.0000
Pd1 0.2465 0.2465 0.3692
Pd2 0.2529 0.2529 0.8795
Pd3 0.7471 0.7471 0.1205
Pd4 0.7535 0.7535 0.6308
Pt1 0.0000 0.0000 0.5000
Pt2 0.4999 0.4999 0.2478
Pt3 0.5001 0.5001 0.7522

Taking the most stable structure as the zero point, the relative energies in meV per atom are model a 123; model b 0.

Model a:
Here is crystalline CuPd4Pt at its relaxed geometry from Alexandria. Energies are from PBE-GGA.

Summary:
* magnetization: 0.00 μB per cell
* SG: P2/m (10)

Lattice parameters (Å, degrees): 4.8032 2.7751 6.7385 90.00 90.31 90.00
Sites, in units of the cell vectors:
Cu1 0.0000 0.0000 0.0000
Pd1 0.1660 0.5000 0.6711
Pd2 0.3306 0.0000 0.3280
Pd3 0.6694 0.0000 0.6720
Pd4 0.8340 0.5000 0.3289
Pt1 0.5000 0.5000 0.0000

Model b:
Here is crystalline CuPd4Pt at its relaxed geometry from Alexandria. Energies are from PBE-GGA.

Summary:
* magnetization: 0.00 μB per cell
* SG: P4/mmm (123)

Lattice parameters (Å, degrees): 3.9419 3.9419 6.7411 90.00 90.00 90.00
Sites, in units of the cell vectors:
Cu1 0.0000 0.0000 0.0000
Pd1 0.0000 0.5000 0.2397
Pd2 0.0000 0.5000 0.7603
Pd3 0.5000 0.0000 0.2397
Pd4 0.5000 0.0000 0.7603
Pt1 0.5000 0.5000 0.5000

Taking the most stable structure as the zero point, the relative energies in meV per atom are model a 0; model b 336.

Model a:
Here is crystalline Cu4PdPt4 at its relaxed geometry from Alexandria. Energies are from PBE-GGA.

Summary:
* magnetization: 0.00 μB per cell
* SG: P4_2/nmc (137)

Lattice parameters (Å, degrees): 5.2533 5.2533 10.6864 90.00 90.00 90.00
Sites, in units of the cell vectors:
Cu1 0.0034 0.7500 0.0006
Cu2 0.2500 0.5034 0.4994
Cu3 0.2500 0.9966 0.4994
Cu4 0.4966 0.7500 0.0006
Cu5 0.5034 0.2500 0.9994
Cu6 0.7500 0.0034 0.5006
Cu7 0.7500 0.4966 0.5006
Cu8 0.9966 0.2500 0.9994
Pd1 0.2500 0.7500 0.7500
Pd2 0.7500 0.2500 0.2500
Pt1 0.0082 0.2500 0.6658
Pt2 0.2500 0.0082 0.1658
Pt3 0.2500 0.4918 0.1658
Pt4 0.4918 0.2500 0.6658
Pt5 0.5082 0.7500 0.3342
Pt6 0.7500 0.5082 0.8342
Pt7 0.7500 0.9918 0.8342
Pt8 0.9918 0.7500 0.3342

Model b:
Here is crystalline Cu4PdPt4 at its relaxed geometry from Alexandria. Energies are from PBE-GGA.

Summary:
* magnetization: 0.00 μB per cell
* SG: I4/mmm (139)

Lattice parameters (Å, degrees): 6.0418 6.0418 6.0418 96.00 96.00 142.27
Sites, in units of the cell vectors:
Cu1 0.0000 0.3391 0.3391
Cu2 0.0000 0.6609 0.6609
Cu3 0.3391 0.0000 0.3391
Cu4 0.6609 0.0000 0.6609
Pd1 0.0000 0.0000 0.0000
Pt1 0.3299 0.3299 0.6598
Pt2 0.3299 0.6701 0.0000
Pt3 0.6701 0.3299 0.0000
Pt4 0.6701 0.6701 0.3402

Taking the most stable structure as the zero point, the relative energies in meV per atom are model a 241; model b 0.